VASP calculation (PBE with a Hubbard U) on a geometry-optimized Fe6O11F structure.

abc: 8.896 6.401 7.213
angles: 90.00 113.17 90.00
Space group Cm (No. 8)
Inequivalent atoms, fractional coordinates:
Fe1 0.000 0.000 0.000 x2
Fe2 0.005 0.000 0.497 x2
Fe3 0.169 0.500 0.164 x2
Fe4 0.180 0.500 0.665 x2
Fe5 0.328 0.000 0.847 x2
Fe6 0.334 0.000 0.326 x2
O1 0.066 0.500 0.375 x2
O2 0.105 0.000 0.292 x2
O3 0.169 0.194 0.665 x4
O4 0.224 0.000 0.037 x2
O5 0.273 0.500 0.957 x2
O6 0.338 0.307 0.335 x4
O7 0.407 0.500 0.709 x2
O8 0.499 0.196 0.001 x4
F1 0.438 0.000 0.635 x2

Output
The total magnetization comes out at 23.3 μB per formula unit. The volume comes out at 378 Å³/cell. The total energy comes out at -220.2 eV/cell. As for the density of states at the Fermi level: 12.92 states/eV/cell.